Compound: LiNbSb2
Source: the Alexandria database
Functional: PBE
Structure: optimized geometry

Output
**Raw total energy**: -5.11 eV per atom
**ΔE to the lowest computed polymorph**: 205 meV/atom
**Space-group type**: No. 225

```
data_LiNbSb2
_chemical_formula_sum 'Li1 Nb1 Sb2'
_cell_length_a 4.920
_cell_length_b 4.920
_cell_length_c 4.920
_cell_angle_alpha 60.00
_cell_angle_beta 60.00
_cell_angle_gamma 60.00
_space_group_name_H-M_alt 'P 1'
_space_group_IT_number 1
loop_
_space_group_symop_operation_xyz
'x,y,z'
loop_
_atom_site_label
_atom_site_type_symbol
_atom_site_fract_x
_atom_site_fract_y
_atom_site_fract_z
_atom_site_occupancy
Li1 Li 0.000 0.000 0.000 1
Nb1 Nb 0.500 0.500 0.500 1
Sb1 Sb 0.250 0.250 0.250 1
Sb2 Sb 0.750 0.750 0.750 1
```